Record 1
Crystalline Tl3Pd12Pb at its relaxed geometry. Source: Alexandria, functional PBE-GGA.

a = 4.0921 Å, b = 4.0921 Å, c = 16.3551 Å
α = 90.00°, β = 90.00°, γ = 90.00°
With the nearest neighbours (Å) after each atom.
Space group P4/mmm (No. 123)
Inequivalent atoms, fractional coordinates:
Tl1 0.0000 0.0000 0.0000 [1 per cell]  12 Pd 2.89
Tl2 0.0000 0.0000 0.2486 [2 per cell]  12 Pd 2.88-2.90
Pd1 0.0000 0.5000 0.1247 [4 per cell]  4 Tl 2.88-2.89, 8 Pd 2.89-2.90
Pd2 0.0000 0.5000 0.3744 [4 per cell]  8 Pd 2.88-2.90, 2 Pb 2.90, 2 Tl 2.90
Pd3 0.5000 0.5000 0.0000 [1 per cell]  8 Pd 2.89, 4 Tl 2.89
Pd4 0.5000 0.5000 0.2503 [2 per cell]  8 Pd 2.88-2.90, 4 Tl 2.89
Pd5 0.5000 0.5000 0.5000 [1 per cell]  4 Pb 2.89, 8 Pd 2.90
Pb1 0.0000 0.0000 0.5000 [1 per cell]  12 Pd 2.89-2.90

Summary:
Magnetic moment in μB per cell: 0.0
Energy relative to the elements in eV/atom: -0.208
Crystal system: tetragonal


Record 2
Crystalline TlPdPb3 at its relaxed geometry. Source: Alexandria, functional PBE-GGA.

a = 9.6118 Å, b = 4.6312 Å, c = 12.6889 Å
α = 90.00°, β = 90.00°, γ = 90.00°
With the nearest neighbours (Å) after each atom.
Space group Pnma (No. 62)
Inequivalent atoms, fractional coordinates:
Tl1 0.1492 0.2500 0.0009 [4 per cell]  8 Pb 3.35-3.72, 2 Tl 3.69
Pd1 0.0682 0.2500 0.3472 [4 per cell]  7 Pb 2.82-2.94
Pb1 0.0867 0.2500 0.5745 [4 per cell]  3 Pd 2.89-2.93
Pb2 0.1194 0.7500 0.2098 [4 per cell]  2 Pd 2.94
Pb3 0.1427 0.7500 0.8096 [4 per cell]  2 Pd 2.82-2.84

Summary:
Magnetic moment in μB per cell: 0.0
Energy relative to the elements in eV/atom: -0.078
Excess energy over the best structure of this formula in the dataset in meV per atom: 21
Crystal system: orthorhombic


Record 3
Crystalline TlPdPb at its relaxed geometry. Source: Alexandria, functional PBE-GGA.

a = 4.3558 Å, b = 4.3558 Å, c = 4.8017 Å
α = 90.00°, β = 90.00°, γ = 120.00°
With the nearest neighbours (Å) after each atom.
Space group P3m1 (No. 156)
Inequivalent atoms, fractional coordinates:
Tl1 0.0000 0.0000 0.0000 [1 per cell]  3 Pd 2.84
Pd1 0.3333 0.6667 0.7230 [1 per cell]  3 Pb 2.84, 3 Tl 2.84
Pb1 0.6667 0.3333 0.4499 [1 per cell]  3 Pd 2.84

Summary:
Magnetic moment in μB per cell: 0.0
Energy relative to the elements in eV/atom: -0.011
Excess energy over the best structure of this formula in the dataset in meV per atom: 155
Crystal system: trigonal


Record 4
Crystalline TlPdPb3 at its relaxed geometry. Source: Alexandria, functional PBE-GGA.

a = 5.4303 Å, b = 5.4303 Å, c = 5.4303 Å
α = 90.00°, β = 90.00°, γ = 90.00°
With the nearest neighbours (Å) after each atom.
Space group Pm-3m (No. 221)
Inequivalent atoms, fractional coordinates:
Tl1 0.0000 0.0000 0.0000 [1 per cell]  12 Pb 3.84
Pd1 0.5000 0.5000 0.5000 [1 per cell]  6 Pb 2.72
Pb1 0.0000 0.5000 0.5000 [3 per cell]  2 Pd 2.72

Summary:
Magnetic moment in μB per cell: 0.0
Energy relative to the elements in eV/atom: 0.061
Excess energy over the best structure of this formula in the dataset in meV per atom: 160
Crystal system: cubic